A plane-wave DFT calculation with PBE was carried out for an optimized crystal structure of Tb4Dy5Tm4.

Results
The calculation puts the volume at 30.91 Å³/atom. The calculation puts the energy relative to the elements at 0.019 eV per atom. For the total DFT energy (no corrections), the calculation gives -4.552 eV per atom. As for the density of states at the Fermi level: 17.3 states/eV/f.u. As for the space-group type: I4/m (87).

Cell lengths 4.978, 9.322, 9.322 Å; angles 85.91, 74.51, 74.51 degrees
Sites, in units of the cell vectors:
Tb 0.769 0.385 0.077
Tb 0.231 0.615 0.923
Tb 0.846 0.923 0.385
Tb 0.154 0.077 0.615
Dy 0.693 0.845 0.768
Dy 0.307 0.155 0.232
Dy 0.000 0.000 0.000
Dy 0.538 0.768 0.155
Dy 0.462 0.232 0.845
Tm 0.924 0.462 0.691
Tm 0.614 0.309 0.462
Tm 0.076 0.538 0.309
Tm 0.386 0.691 0.538